a:
The following is a DFT calculation (SCAN) of Ba5Ca4 at its PBEsol-relaxed geometry.

Structure (CIF):
```
data_Ba5Ca4
_chemical_formula_sum 'Ba10 Ca8'
_cell_length_a 13.619
_cell_length_b 13.619
_cell_length_c 4.812
_cell_angle_alpha 90.00
_cell_angle_beta 90.00
_cell_angle_gamma 90.00
_space_group_name_H-M_alt 'I 4/m m m'
_space_group_IT_number 139
_space_group_name_Hall '-I 4 2'
loop_
_atom_site_label
_atom_site_type_symbol
_atom_site_fract_x
_atom_site_fract_y
_atom_site_fract_z
_atom_site_occupancy
Ba1 Ba 0.000 0.000 0.000 1
Ba2 Ba 0.167 0.167 0.500 1
Ca1 Ca 0.000 0.343 0.000 1
```

b:
The following is a DFT calculation (SCAN) of Ba5Ca4 at its PBEsol-relaxed geometry.

Structure (CIF):
```
data_Ba5Ca4
_chemical_formula_sum 'Ba10 Ca8'
_cell_length_a 11.4454
_cell_length_b 11.4454
_cell_length_c 7.9043
_cell_angle_alpha 90.00
_cell_angle_beta 90.00
_cell_angle_gamma 120.00
_space_group_name_H-M_alt 'P 63/m c m'
_space_group_IT_number 193
_space_group_name_Hall '-P 6c 2'
loop_
_atom_site_label
_atom_site_type_symbol
_atom_site_fract_x
_atom_site_fract_y
_atom_site_fract_z
_atom_site_occupancy
Ba1 Ba 0.0000 0.3466 0.2500 1
Ba2 Ba 0.3333 0.6667 0.0000 1
Ca1 Ca 0.0000 0.0000 0.0000 1
Ca2 Ca 0.0000 0.3126 0.7500 1
```

Which is most stable, and by how much? a, by 0.026 eV/atom.

a:
The following is a DFT calculation (SCAN) of BaCa5 at its PBEsol-relaxed geometry.

Structure (CIF):
```
data_BaCa5
_chemical_formula_sum 'Ba2 Ca10'
_cell_length_a 14.898
_cell_length_b 3.982
_cell_length_c 9.553
_cell_angle_alpha 90.00
_cell_angle_beta 105.55
_cell_angle_gamma 90.00
_space_group_name_H-M_alt 'C 1 m 1'
_space_group_IT_number 8
loop_
_space_group_symop_operation_xyz
'x,y,z'
'x,-y,z'
'x+1/2,y+1/2,z'
'x+1/2,-y+1/2,z'
loop_
_atom_site_label
_atom_site_type_symbol
_atom_site_fract_x
_atom_site_fract_y
_atom_site_fract_z
_atom_site_occupancy
Ba1 Ba 0.000 0.000 0.000 1
Ca1 Ca 0.114 0.500 0.714 1
Ca2 Ca 0.170 0.500 0.341 1
Ca3 Ca 0.274 0.000 0.056 1
Ca4 Ca 0.329 0.000 0.657 1
Ca5 Ca 0.443 0.500 0.391 1
```

b:
The following is a DFT calculation (SCAN) of BaCa5 at its PBEsol-relaxed geometry.

Structure (CIF):
```
data_BaCa5
_chemical_formula_sum 'Ba2 Ca10'
_cell_length_a 5.586
_cell_length_b 16.624
_cell_length_c 5.604
_cell_angle_alpha 90.00
_cell_angle_beta 90.00
_cell_angle_gamma 90.00
_space_group_name_H-M_alt 'C m m m'
_space_group_IT_number 65
_space_group_name_Hall '-C 2 2'
loop_
_atom_site_label
_atom_site_type_symbol
_atom_site_fract_x
_atom_site_fract_y
_atom_site_fract_z
_atom_site_occupancy
Ba1 Ba 0.000 0.000 0.000 1
Ca1 Ca 0.000 0.171 0.500 1
Ca2 Ca 0.000 0.329 0.000 1
Ca3 Ca 0.000 0.500 0.500 1
```

Which is most stable, and by how much? a, by 0.014 eV/atom.

a:
The following is a DFT calculation (SCAN) of BaCaCd at its PBEsol-relaxed geometry.

Structure (CIF):
```
data_BaCaCd
_chemical_formula_sum 'Ba2 Ca2 Cd2'
_cell_length_a 3.989
_cell_length_b 3.989
_cell_length_c 13.869
_cell_angle_alpha 90.00
_cell_angle_beta 90.00
_cell_angle_gamma 90.00
_space_group_name_H-M_alt 'I 4 m m'
_space_group_IT_number 107
_space_group_name_Hall 'I 4 -2'
loop_
_atom_site_label
_atom_site_type_symbol
_atom_site_fract_x
_atom_site_fract_y
_atom_site_fract_z
_atom_site_occupancy
Ba1 Ba 0.000 0.000 0.000 1
Ca1 Ca 0.000 0.000 0.725 1
Cd1 Cd 0.000 0.000 0.340 1
```

b:
The following is a DFT calculation (SCAN) of BaCaCd at its PBEsol-relaxed geometry.

Structure (CIF):
```
data_BaCaCd
_chemical_formula_sum 'Ba4 Ca4 Cd4'
_cell_length_a 7.719
_cell_length_b 7.719
_cell_length_c 7.719
_cell_angle_alpha 90.00
_cell_angle_beta 90.00
_cell_angle_gamma 90.00
_space_group_name_H-M_alt 'F -4 3 m'
_space_group_IT_number 216
_space_group_name_Hall 'F -4 2 3'
loop_
_atom_site_label
_atom_site_type_symbol
_atom_site_fract_x
_atom_site_fract_y
_atom_site_fract_z
_atom_site_occupancy
Ba1 Ba 0.000 0.000 0.000 1
Ca1 Ca 0.250 0.250 0.250 1
Cd1 Cd 0.000 0.000 0.500 1
```

Which is most stable, and by how much? a, by 0.461 eV/atom.

a:
The following is a DFT calculation (SCAN) of Ba2CaCl at its PBEsol-relaxed geometry.

Structure (CIF):
```
data_Ba2CaCl
_chemical_formula_sum 'Ba4 Ca2 Cl2'
_cell_length_a 4.939
_cell_length_b 4.939
_cell_length_c 14.679
_cell_angle_alpha 90.00
_cell_angle_beta 90.00
_cell_angle_gamma 90.00
_space_group_name_H-M_alt 'I -4 m 2'
_space_group_IT_number 119
_space_group_name_Hall 'I -4 -2'
loop_
_atom_site_label
_atom_site_type_symbol
_atom_site_fract_x
_atom_site_fract_y
_atom_site_fract_z
_atom_site_occupancy
Ba1 Ba 0.000 0.000 0.000 1
Ba2 Ba 0.000 0.500 0.250 1
Ca1 Ca 0.000 0.000 0.500 1
Cl1 Cl 0.000 0.500 0.750 1
```

b:
The following is a DFT calculation (SCAN) of Ba2CaCl at its PBEsol-relaxed geometry.

Structure (CIF):
```
data_Ba2CaCl
_chemical_formula_sum 'Ba4 Ca2 Cl2'
_cell_length_a 4.187
_cell_length_b 7.414
_cell_length_c 12.262
_cell_angle_alpha 90.00
_cell_angle_beta 90.00
_cell_angle_gamma 90.00
_space_group_name_H-M_alt 'I m m m'
_space_group_IT_number 71
_space_group_name_Hall '-I 2 2'
loop_
_atom_site_label
_atom_site_type_symbol
_atom_site_fract_x
_atom_site_fract_y
_atom_site_fract_z
_atom_site_occupancy
Ba1 Ba 0.000 0.000 0.189 1
Ca1 Ca 0.000 0.500 0.000 1
Cl1 Cl 0.000 0.500 0.500 1
```

Which is most stable, and by how much? b, by 0.242 eV/atom.

a:
The following is a DFT calculation (SCAN) of BaCa2Co at its PBEsol-relaxed geometry.

Structure (CIF):
```
data_BaCa2Co
_chemical_formula_sum 'Ba3 Ca6 Co3'
_cell_length_a 3.9634
_cell_length_b 3.9634
_cell_length_c 30.6349
_cell_angle_alpha 90.00
_cell_angle_beta 90.00
_cell_angle_gamma 120.00
_space_group_name_H-M_alt 'R 3 m'
_space_group_IT_number 160
_space_group_name_Hall 'R 3 -2"'
loop_
_atom_site_label
_atom_site_type_symbol
_atom_site_fract_x
_atom_site_fract_y
_atom_site_fract_z
_atom_site_occupancy
Ba1 Ba 0.0000 0.0000 0.0000 1
Ca1 Ca 0.0000 0.0000 0.2174 1
Ca2 Ca 0.0000 0.0000 0.4446 1
Co1 Co 0.0000 0.0000 0.7253 1
```

b:
The following is a DFT calculation (SCAN) of BaCa2Co at its PBEsol-relaxed geometry.

Structure (CIF):
```
data_BaCa2Co
_chemical_formula_sum 'Ba2 Ca4 Co2'
_cell_length_a 12.281
_cell_length_b 3.840
_cell_length_c 6.704
_cell_angle_alpha 90.00
_cell_angle_beta 123.07
_cell_angle_gamma 90.00
_space_group_name_H-M_alt 'C 1 m 1'
_space_group_IT_number 8
loop_
_space_group_symop_operation_xyz
'x,y,z'
'x,-y,z'
'x+1/2,y+1/2,z'
'x+1/2,-y+1/2,z'
loop_
_atom_site_label
_atom_site_type_symbol
_atom_site_fract_x
_atom_site_fract_y
_atom_site_fract_z
_atom_site_occupancy
Ba1 Ba 0.000 0.000 0.000 1
Ca1 Ca 0.173 0.000 0.653 1
Ca2 Ca 0.352 0.000 0.360 1
Co1 Co 0.189 0.500 0.380 1
```

Which is most stable, and by how much? b, by 0.086 eV/atom.